[1]
A relaxed structure of BIrPb3. Source: Alexandria, functional PBE.

The calculation puts the energy of formation from the pure elements at 1.099 eV per atom. The value obtained for the total energy is -4.2342 eV per atom. The value obtained for the offset from the most stable computed form is 0.000 eV/atom.

The space group is Pm-3m (No. 221) and the conventional cell measures 4.878, 4.878 and 4.878 Å, with angles of 90.00, 90.00 and 90.00 degrees. The distinct sites, in fractional coordinates, are B at (0.000, 0.000, 0.000), Ir at (0.500, 0.500, 0.500) and Pb at (0.000, 0.000, 0.500).

[2]
A relaxed structure of BIrPb. Source: Alexandria, functional PBE.

The calculation puts the energy of formation from the pure elements at 0.048 eV per atom. The value obtained for the total energy is -6.3671 eV per atom.

The space group is Pmmn (No. 59, origin choice 2) and the conventional cell measures 3.913, 3.924 and 8.087 Å, with angles of 90.00, 90.00 and 90.00 degrees. The distinct sites, in fractional coordinates, are B at (0.250, 0.250, 0.097), Ir at (0.250, 0.750, 0.998) and Pb at (0.250, 0.750, 0.363).

[3]
A relaxed structure of BIr2Pb. Source: Alexandria, functional PBE.

The calculation puts the energy of formation from the pure elements at 0.407 eV per atom. The value obtained for the total energy is -6.6197 eV per atom. The value obtained for the offset from the most stable computed form is 0.000 eV/atom.

The space group is I-42d (No. 122) and the conventional cell measures 5.495, 5.495 and 10.139 Å, with angles of 90.00, 90.00 and 90.00 degrees. The distinct sites, in fractional coordinates, are B at (0.000, 0.000, 0.000), Ir at (0.139, 0.250, 0.125) and Pb at (0.000, 0.000, 0.500).

[4]
A relaxed structure of BIr2Pb. Source: Alexandria, functional PBE.

The calculation puts the energy of formation from the pure elements at 1.072 eV per atom. The value obtained for the total energy is -5.9554 eV per atom. The value obtained for the offset from the most stable computed form is 0.664 eV/atom.

The space group is Fm-3m (No. 225) and the conventional cell measures 6.271, 6.271 and 6.271 Å, with angles of 90.00, 90.00 and 90.00 degrees. The distinct sites, in fractional coordinates, are B at (0.000, 0.000, 0.000), Ir at (0.250, 0.250, 0.250) and Pb at (0.000, 0.000, 0.500).

[5]
A relaxed structure of BIrPtPb2. Source: Alexandria, functional PBE.

The calculation puts the energy of formation from the pure elements at 1.652 eV per atom. The value obtained for the total energy is -4.1468 eV per atom.

The space group is P4/mmm (No. 123) and the conventional cell measures 5.351, 5.351 and 4.904 Å, with angles of 90.00, 90.00 and 90.00 degrees. The distinct sites, in fractional coordinates, are B at (0.000, 0.000, 0.000), Ir at (0.500, 0.500, 0.000), Pt at (0.500, 0.500, 0.500) and Pb at (0.000, 0.500, 0.500).

[6]
A relaxed structure of ReBIrPb2. Source: Alexandria, functional PBE.

The calculation puts the energy of formation from the pure elements at 1.992 eV per atom. The value obtained for the total energy is -5.0890 eV per atom.

The space group is P4/mmm (No. 123) and the conventional cell measures 5.270, 5.270 and 4.878 Å, with angles of 90.00, 90.00 and 90.00 degrees. The distinct sites, in fractional coordinates, are Re at (0.000, 0.000, 0.000), B at (0.500, 0.500, 0.000), Ir at (0.000, 0.000, 0.500) and Pb at (0.000, 0.500, 0.500).